Below is a relaxed KCu4Br crystal, with properties calculated at the PBE level.

ΔE_f (raw)	0.159	eV/atom
magnetic moment	0.00	Bohr magnetons per cell

Cell lengths 5.3113, 5.3113, 5.3113 Å; angles 60.00, 60.00, 60.00 degrees
Element x y z (fractional)
Cu 0.3746 0.8762 0.3746
Cu 0.3746 0.3746 0.3746
Cu 0.3746 0.3746 0.8762
Cu 0.8762 0.3746 0.3746
K 0.7500 0.7500 0.7500
Br 0.0000 0.0000 0.0000

Below is a relaxed Sc6P2S3 crystal, with properties calculated at the PBE level.

ΔE_f (raw)	-1.611	eV/atom
magnetic moment	0.00	Bohr magnetons per cell

Cell lengths 6.3650, 6.3619, 6.4120 Å; angles 80.47, 70.68, 59.98 degrees
Element x y z (fractional)
Sc 0.0736 0.3433 0.7476
Sc 0.7595 0.0000 0.7510
Sc 0.9264 0.6567 0.2524
Sc 0.4170 0.6567 0.7476
Sc 0.2404 0.0000 0.2490
Sc 0.5830 0.3433 0.2524
P 0.8337 0.3326 0.5000
P 0.1663 0.6674 0.5000
S 0.6655 0.6689 0.0000
S 0.0000 0.0000 0.0000
S 0.3345 0.3311 0.0000

Below is a relaxed LaTmU crystal, with properties calculated at the PBE level.

calculated formation energy	0.243	eV/atom
magnetic moment	1.61	Bohr magnetons per cell

Cell lengths 3.6304, 5.9806, 8.6690 Å; angles 101.15, 102.09, 90.00 degrees
Last column: magnetic moment on the atom in μB.
Element x y z (fractional)
U 0.7602 0.1463 0.5204  0.75
U 0.2398 0.8537 0.4796  0.75
Tm 0.4285 0.2063 0.8569  0.00
Tm 0.5715 0.7937 0.1431  0.00
La 0.8805 0.6877 0.7610  0.02
La 0.1195 0.3123 0.2390  0.02

Below is a relaxed VNiAu2 crystal, with properties calculated at the PBE level.

calculated formation energy	0.088	eV/atom
magnetic moment	0.79	Bohr magnetons per cell

Cell lengths 4.4111, 4.4111, 4.4111 Å; angles 60.00, 60.00, 60.00 degrees
Last column: magnetic moment on the atom in μB.
Element x y z (fractional)
Ni 0.5000 0.5000 0.5000  -0.26
Au 0.2500 0.2500 0.2500  0.02
Au 0.7500 0.7500 0.7500  0.02
V 0.0000 0.0000 0.0000  0.92

Below is a relaxed PmY2Co crystal, with properties calculated at the PBE level.

calculated formation energy	0.163	eV/atom
magnetic moment	0.00	Bohr magnetons per cell

Cell lengths 3.6400, 3.6400, 10.6018 Å; angles 80.12, 80.12, 60.00 degrees
Element x y z (fractional)
Y 0.8850 0.8850 0.3451
Y 0.1150 0.1150 0.6549
Co 0.5000 0.5000 0.5000
Pm 0.0000 0.0000 0.0000

Below is a relaxed DyAl10Re2 crystal, with properties calculated at the PBE level.

calculated formation energy	-0.357	eV/atom
magnetic moment	0.00	Bohr magnetons per cell

Cell lengths 6.9622, 6.9622, 18.0159 Å; angles 90.00, 90.00, 96.13 degrees
Element x y z (fractional)
Al 0.5056 0.4944 0.6431
Al 0.9098 0.6535 0.6312
Al 0.4944 0.5056 0.1431
Al 0.6134 0.0875 0.7500
Al 0.7257 0.7004 0.2500
Al 0.0000 0.5000 0.5000
Al 0.3492 0.3492 0.5000
Al 0.5000 0.0000 0.5000
Al 0.6508 0.6508 0.0000
Al 0.0344 0.9656 0.1745
Al 0.2997 0.2743 0.2500
Al 0.9656 0.0344 0.6745
Al 0.9098 0.6535 0.8688
Al 0.3465 0.0902 0.6312
Al 0.3866 0.9125 0.2500
Al 0.2491 0.7509 0.4075
Al 0.0875 0.6134 0.2500
Al 0.6535 0.9098 0.3688
Al 0.7173 0.2827 0.0737
Al 0.0344 0.9656 0.3255
Al 0.2491 0.7509 0.0925
Al 0.7509 0.2491 0.5925
Al 0.7509 0.2491 0.9075
Al 0.9656 0.0344 0.8255
Al 0.2827 0.7173 0.9263
Al 0.2743 0.2997 0.7500
Al 0.6535 0.9098 0.1312
Al 0.5056 0.4944 0.8569
Al 0.7004 0.7257 0.7500
Al 0.9125 0.3866 0.7500
Al 0.6508 0.6508 0.5000
Al 0.3492 0.3492 0.0000
Al 0.4944 0.5056 0.3569
Al 0.2827 0.7173 0.5737
Al 0.0902 0.3465 0.1312
Al 0.0902 0.3465 0.3688
Al 0.0000 0.5000 0.0000
Al 0.5000 0.0000 0.0000
Al 0.3465 0.0902 0.8688
Al 0.7173 0.2827 0.4263
Re 0.1301 0.3736 0.6208
Re 0.3736 0.1301 0.3792
Re 0.6264 0.8699 0.8792
Re 0.6264 0.8699 0.6208
Re 0.8699 0.6264 0.1208
Re 0.1301 0.3736 0.8792
Re 0.8699 0.6264 0.3792
Re 0.3736 0.1301 0.1208
Dy 0.2575 0.7425 0.7500
Dy 0.7425 0.2575 0.2500
Dy 0.0000 0.0000 0.5000
Dy 0.0000 0.0000 0.0000